No. 1
DFT (PBE) results for a relaxed Ba2ScBe crystal.

Cell and atoms, written as POSCAR:
```
Ba2ScBe
1.0
3.897 0.000 0.000
0.000 3.897 0.000
0.000 0.000 9.240
Ba Sc Be
2 1 1
Direct
0.000 0.000 0.207
0.000 0.000 0.793
0.500 0.500 0.500
0.500 0.500 0.000
```

- symmetry = P4/mmm
- total magnetization (μB/f.u.) = 1.35
- formation enthalpy at 0 K (eV/atom) = 0.54



No. 2
DFT (PBE) results for a relaxed BaBe2Se crystal.

Cell and atoms, written as POSCAR:
```
BaBe2Se
1.0
3.473 0.000 0.000
0.000 3.473 0.000
0.000 0.000 6.836
Ba Be Se
1 2 1
Direct
0.000 0.000 0.000
0.000 0.000 0.472
0.500 0.500 0.344
0.500 0.500 0.659
```

- symmetry = P4mm
- total magnetization (μB/f.u.) = 0.00
- uncorrected formation energy (meV/atom) = 102



No. 3
DFT (PBE) results for a relaxed BaBe2Se crystal.

Cell and atoms, written as POSCAR:
```
BaBe2Se
1.0
4.351 0.000 0.000
0.000 4.393 0.000
0.000 0.000 4.944
Ba Be Se
1 2 1
Direct
0.000 0.000 0.000
0.248 0.500 0.500
0.752 0.500 0.500
0.500 0.000 0.500
```

- symmetry = Pmmm
- total magnetization (μB/f.u.) = 0.00
- uncorrected formation energy (meV/atom) = -193



No. 4
DFT (PBE) results for a relaxed BaBeSe4 crystal.

Cell and atoms, written as POSCAR:
```
BaBeSe4
1.0
0.000 4.207 4.207
4.207 0.000 4.207
4.207 4.207 0.000
Ba Be Se
1 1 4
Direct
0.000 0.000 0.000
0.750 0.750 0.750
0.377 0.377 0.377
0.377 0.377 0.869
0.377 0.869 0.377
0.869 0.377 0.377
```

- symmetry = F-43m
- total magnetization (μB/f.u.) = 0.00
- uncorrected formation energy (meV/atom) = 55



No. 5
DFT (PBE) results for a relaxed Ba2BeSe crystal.

Cell and atoms, written as POSCAR:
```
Ba2BeSe
1.0
4.067 0.000 0.000
0.000 4.067 0.000
0.000 0.000 7.863
Ba Be Se
2 1 1
Direct
0.000 0.000 0.245
0.000 0.000 0.755
0.500 0.500 0.500
0.500 0.500 0.000
```

- symmetry = P4/mmm
- total magnetization (μB/f.u.) = 0.00
- uncorrected formation energy (meV/atom) = -532
- energy above the most stable polymorph in this dataset (meV/atom) = 24



No. 6
DFT (PBE) results for a relaxed BaBe2Se crystal.

Cell and atoms, written as POSCAR:
```
BaBe2Se
1.0
4.268 0.000 0.000
-2.134 3.696 0.000
0.000 0.000 16.774
Ba Be Se
3 6 3
Direct
0.000 0.000 0.000
0.333 0.667 0.667
0.667 0.333 0.333
0.000 0.000 0.194
0.000 0.000 0.806
0.333 0.667 0.472
0.333 0.667 0.861
0.667 0.333 0.139
0.667 0.333 0.528
0.000 0.000 0.500
0.333 0.667 0.167
0.667 0.333 0.833
```

- symmetry = R-3m
- total magnetization (μB/f.u.) = 0.00
- uncorrected formation energy (meV/atom) = 212



No. 7
DFT (PBE) results for a relaxed BaBe2Se crystal.

Cell and atoms, written as POSCAR:
```
BaBe2Se
1.0
7.306 0.000 0.000
0.000 7.306 0.000
0.000 0.000 7.306
Ba Be Se
4 8 4
Direct
0.000 0.000 0.000
0.000 0.500 0.500
0.500 0.000 0.500
0.500 0.500 0.000
0.000 0.000 0.500
0.000 0.500 0.000
0.250 0.250 0.750
0.250 0.750 0.250
0.500 0.000 0.000
0.500 0.500 0.500
0.750 0.250 0.250
0.750 0.750 0.750
0.250 0.250 0.250
0.250 0.750 0.750
0.750 0.250 0.750
0.750 0.750 0.250
```

- symmetry = F-43m
- total magnetization (μB/f.u.) = 0.00
- uncorrected formation energy (meV/atom) = 489



No. 8
DFT (PBE) results for a relaxed Ba2BeSe crystal.

Cell and atoms, written as POSCAR:
```
Ba2BeSe
1.0
11.944 0.000 0.000
0.000 4.264 0.000
-0.943 0.000 5.148
Ba Be Se
4 2 2
Direct
0.000 0.000 0.000
0.230 0.500 0.575
0.500 0.500 0.000
0.730 0.000 0.575
0.444 0.000 0.455
0.944 0.500 0.455
0.290 0.000 0.126
0.790 0.500 0.126
```

- symmetry = Cm
- total magnetization (μB/f.u.) = 0.00
- uncorrected formation energy (meV/atom) = -557
- energy above the most stable polymorph in this dataset (meV/atom) = 0



No. 9
DFT (PBE) results for a relaxed Ba2BeSe crystal.

Cell and atoms, written as POSCAR:
```
Ba2BeSe
1.0
8.506 0.000 0.000
0.000 8.506 0.000
0.000 0.000 8.974
Ba Be Se
8 4 4
Direct
0.241 0.750 0.125
0.250 0.241 0.875
0.250 0.259 0.375
0.259 0.750 0.625
0.741 0.250 0.625
0.750 0.741 0.375
0.750 0.759 0.875
0.759 0.250 0.125
0.000 0.000 0.500
0.000 0.500 0.750
0.500 0.000 0.250
0.500 0.500 0.000
0.000 0.000 0.000
0.000 0.500 0.250
0.500 0.000 0.750
0.500 0.500 0.500
```

- symmetry = I-42d
- total magnetization (μB/f.u.) = 0.00
- uncorrected formation energy (meV/atom) = -357
- energy above the most stable polymorph in this dataset (meV/atom) = 200



No. 10
DFT (PBE) results for a relaxed Ba2BeSe crystal.

Cell and atoms, written as POSCAR:
```
Ba2BeSe
1.0
4.623 0.000 0.000
-2.312 4.004 0.000
0.000 0.000 24.999
Ba Be Se
6 3 3
Direct
0.000 0.000 0.245
0.000 0.000 0.755
0.333 0.667 0.422
0.333 0.667 0.911
0.667 0.333 0.089
0.667 0.333 0.578
0.000 0.000 0.000
0.333 0.667 0.667
0.667 0.333 0.333
0.000 0.000 0.500
0.333 0.667 0.167
0.667 0.333 0.833
```

- symmetry = R-3m
- total magnetization (μB/f.u.) = 1.15
- uncorrected formation energy (meV/atom) = -528
- energy above the most stable polymorph in this dataset (meV/atom) = 29



No. 11
DFT (PBE) results for a relaxed BaBe2Se crystal.

Cell and atoms, written as POSCAR:
```
BaBe2Se
1.0
4.451 0.000 0.000
0.000 10.318 0.000
0.000 0.000 4.577
Ba Be Se
2 4 2
Direct
0.000 0.000 0.000
0.500 0.500 0.000
0.000 0.289 0.500
0.000 0.711 0.500
0.500 0.211 0.500
0.500 0.789 0.500
0.000 0.500 0.500
0.500 0.000 0.500
```

- symmetry = Cmmm
- total magnetization (μB/f.u.) = 0.00
- uncorrected formation energy (meV/atom) = -182



No. 12
DFT (PBE) results for a relaxed BaBe2Se crystal.

Cell and atoms, written as POSCAR:
```
BaBe2Se
1.0
7.692 0.000 0.000
0.000 7.692 0.000
0.000 0.000 6.330
Ba Be Se
4 8 4
Direct
0.000 0.000 0.000
0.000 0.500 0.250
0.500 0.000 0.750
0.500 0.500 0.500
0.165 0.250 0.625
0.250 0.665 0.875
0.250 0.835 0.375
0.335 0.250 0.125
0.665 0.750 0.125
0.750 0.165 0.375
0.750 0.335 0.875
0.835 0.750 0.625
0.000 0.000 0.500
0.000 0.500 0.750
0.500 0.000 0.250
0.500 0.500 0.000
```

- symmetry = I-42d
- total magnetization (μB/f.u.) = 0.00
- uncorrected formation energy (meV/atom) = 199



Calculated density? In order: 3.9 4.7 4.1 5.2 4.6 4.4 4.0 4.6 3.7 3.9 3.7 4.2 g/cm3.
V? In order: 140.30 82.45 94.50 148.94 130.05 88.19 97.49 131.09 162.32 154.29 105.11 93.63 Å³/f.u..
E_tot? In order: -2.94 -3.11 -3.41 -3.21 -3.30 -3.00 -2.73 -3.32 -3.12 -3.29 -3.40 -3.02 eV per atom.